Entry 1:
## BeTlB2P (PBE)

Data for a geometry-optimized BeTlB2P structure.

Geometry as POSCAR:
```
BeTlB2P
1.0
3.8028 0.0000 0.0000
0.0000 5.1887 0.0000
0.0000 0.0000 3.8028
Tl Be B P
1 1 2 1
Direct
0.5000 0.5000 0.5000
0.0000 0.0000 0.0000
0.5000 0.0000 0.0000
0.0000 0.0000 0.5000
0.0000 0.5000 0.0000
```

ΔE_f	1.308	eV per atom
VASP energy	-3.6632	eV/atom


Entry 2:
## Ca2CoPt (PBE)

Data for a geometry-optimized Ca2CoPt structure.

Geometry as POSCAR:
```
Ca2CoPt
1.0
-3.0889 -3.6232 0.6330
-1.0385 -2.9369 -3.6559
1.5892 -4.5324 0.0345
Ca Pt Co
2 1 1
Direct
0.2500 0.2500 0.2500
0.0000 0.0000 0.0000
0.7500 0.7500 0.7500
0.5000 0.5000 0.5000
```

ΔE_f	-0.008	eV per atom
VASP energy	-4.2957	eV/atom


Entry 3:
## Cs3Tl2Br7 (PBE)

Data for a geometry-optimized Cs3Tl2Br7 structure.

Geometry as POSCAR:
```
Cs3Tl2Br7
1.0
5.7423 0.0000 -1.0792
-0.2028 5.7387 -1.0792
-0.0456 -0.0472 15.5745
Cs Tl Br
3 2 7
Direct
0.6811 0.6811 0.3623
0.5000 0.5000 0.0000
0.3189 0.3189 0.6377
0.8999 0.8999 0.7999
0.1001 0.1001 0.2001
0.0000 0.0000 0.0000
0.9032 0.4032 0.8064
0.4032 0.9032 0.8064
0.0968 0.5968 0.1936
0.5968 0.0968 0.1936
0.8018 0.8018 0.6035
0.1982 0.1982 0.3965
```

VASP energy	-2.7989	eV/atom
energy relative to the elements, uncorrected	-1215	meV per atom
offset from the most stable computed form	0	meV/atom


Entry 4:
## GePd8Au2 (PBE)

Data for a geometry-optimized GePd8Au2 structure.

Geometry as POSCAR:
```
GePd8Au2
1.0
4.0647 0.0000 -1.1705
-0.9049 4.8387 -3.1422
0.2967 0.1409 8.6730
Pd Ge Au
8 1 2
Direct
0.0357 0.3274 0.0713
0.4123 0.2548 0.8246
0.5877 0.7452 0.1754
0.9643 0.6726 0.9287
0.1474 0.1132 0.2948
0.8526 0.8868 0.7052
0.3340 0.5735 0.6680
0.6660 0.4265 0.3320
0.5000 0.0000 0.0000
0.7787 0.2044 0.5575
0.2213 0.7956 0.4425
```

ΔE_f	-0.175	eV per atom
VASP energy	-4.9668	eV/atom
offset from the most stable computed form	0	meV/atom


Entry 5:
## SrAcPmEr (PBE)

Data for a geometry-optimized SrAcPmEr structure.

Geometry as POSCAR:
```
SrAcPmEr
1.0
-5.0853 -0.9880 3.1645
-4.2688 -3.7149 -2.1972
-0.9551 -5.4010 2.6015
Er Ac Pm Sr
1 1 1 1
Direct
0.7500 0.7500 0.7500
0.5000 0.5000 0.5000
0.0000 0.0000 0.0000
0.2500 0.2500 0.2500
```

ΔE_f	0.195	eV per atom
VASP energy	-3.5813	eV/atom


Entry 6:
## PrGdDyZn (PBE)

Data for a geometry-optimized PrGdDyZn structure.

Geometry as POSCAR:
```
PrGdDyZn
1.0
5.4238 0.0000 0.0000
2.7119 4.6971 0.0000
2.7119 1.5657 4.4285
Pr Dy Zn Gd
1 1 1 1
Direct
0.2500 0.2500 0.2500
0.5000 0.5000 0.5000
0.0000 0.0000 0.0000
0.7500 0.7500 0.7500
```

ΔE_f	0.033	eV per atom
VASP energy	-6.1512	eV/atom


> Which of these has the lowest VASP energy?

PrGdDyZn


> The lowest VASP energy belongs to which entry?

PrGdDyZn